BeZnCr, optimized geometry, DFT PBE; symmetry = Fmm2 (42); total DFT energy (no corrections) = -14.17 eV/cell; calculated formation energy = 0.15 eV/atom
1.0
-4.2654 0.3948 -4.3190
-4.1514 -1.9982 -3.8201
-2.0173 0.6529 1.2217
Cr Zn Be
1 1 1
direct
0.3439 0.3439 0.6561
0.6612 0.6612 0.3388
0.9948 0.9948 0.0052